1.
## La4Pr3TmS8 (PBE)

Data for a relaxed structure of La4Pr3TmS8.

As for the formation energy (no corrections): -2.079 eV/atom. As for the total energy: -104.81 eV/f.u. The value obtained for the total moment is 0.00 μB per formula unit.

The structure belongs to space group R-3m (No. 166, hexagonal axes); the cell edges are 8.2053, 8.2053 and 20.0653 Å and the angles 90.00°, 90.00° and 120.00°. The asymmetric unit holds La at (0.0000, 0.0000, 0.0000), La at (0.0000, 0.5000, 0.0000), Pr at (0.0000, 0.5000, 0.5000), Tm at (0.0000, 0.0000, 0.5000), S at (0.0000, 0.0000, 0.2495) and S at (0.0129, 0.5065, 0.2463).

2.
## AlAs (PBE)

Data for a relaxed structure of AlAs.

As for the calculated formation energy: -0.27 eV per atom. As for the total energy: -8.93 eV/f.u. The value obtained for the total moment is 0.00 μB per formula unit.

The structure belongs to space group Fddd (No. 70, origin choice 2); the cell edges are 8.320, 10.648 and 10.727 Å and the angles 90.00°, 90.00° and 90.00°. The asymmetric unit holds Al at (0.125, 0.125, 0.269) and As at (0.125, 0.310, 0.125).

3.
## Dy2BeNi (PBE)

Data for a relaxed structure of Dy2BeNi.

As for the calculated formation energy: -0.14 eV per atom. As for the total energy: -19.26 eV/f.u. The calculation puts the offset from the most stable computed form at 20 meV per atom. The value obtained for the total moment is 0.00 μB per formula unit.

The structure belongs to space group Fm-3m (No. 225); the cell edges are 6.782, 6.782 and 6.782 Å and the angles 90.00°, 90.00° and 90.00°. The asymmetric unit holds Dy at (0.250, 0.250, 0.250), Be at (0.000, 0.000, 0.000) and Ni at (0.000, 0.000, 0.500).